VASP calculation (meta-GGA SCAN) on MgZr4Au at its PBEsol-relaxed geometry.

Unit cell a=5.641 b=5.641 c=5.641 alpha=60.00 beta=60.00 gamma=60.00
Atoms (fractional coordinates):
Mg 0.000 0.000 0.000
Zr 0.375 0.375 0.375
Zr 0.375 0.375 0.875
Zr 0.375 0.875 0.375
Zr 0.875 0.375 0.375
Au 0.750 0.750 0.750

## Properties
E, eV per atom: -32.63
Formation enthalpy at 0 K, meV/atom: 196
Total moment, μB/atom: 0.000